Record 1
A plane-wave DFT calculation with PBE-GGA was carried out for a relaxed Er2TmSc5 crystal.

Cell and atoms, written as extended XYZ:
```
8
Lattice="-3.3674 3.3674 4.6912 3.3674 -3.3674 4.6912 3.3674 3.3674 -4.6912" Properties=species:S:1:pos:R:3 pbc="T T T"
Er 3.3674 0.0000 0.0000
Er 0.0000 3.3674 0.0000
Tm 0.0000 0.0000 0.0041
Sc 1.6820 1.6820 7.0365
Sc -1.6820 1.6820 7.0365
Sc 1.6820 -1.6820 7.0365
Sc 0.0000 0.0000 4.6871
Sc 1.6853 1.6853 2.3453
```

Summary:
ρ: 5.7 Mg/m³
Formation energy: 0.06 eV/atom

=====

Record 2
A plane-wave DFT calculation with PBE-GGA was carried out for a relaxed Er2Tm5Sc crystal.

Cell and atoms, written as extended XYZ:
```
16
Lattice="-4.3824 4.3824 6.1188 4.3824 -4.3824 6.1188 4.3824 4.3824 -6.1188" Properties=species:S:1:pos:R:3 pbc="T T T"
Er 5.6276 1.2452 0.0000
Er 1.2452 3.1371 0.0000
Er 3.1371 1.2452 6.1188
Er -1.2452 3.1371 6.1188
Tm 0.0000 0.0000 0.0000
Tm 5.7210 -1.3386 2.0243
Tm 3.0438 -1.3386 4.0945
Tm 3.0438 1.3386 2.0243
Tm 5.7210 1.3386 4.0945
Tm 0.0000 0.0000 6.1188
Tm -1.3386 3.0438 2.0243
Tm 1.3386 3.0438 4.0945
Tm 1.3386 5.7210 2.0243
Tm -1.3386 5.7210 4.0945
Sc 0.0000 0.0000 3.0594
Sc 0.0000 0.0000 9.1781
```

Summary:
ρ: 8.6 Mg/m³
Formation energy: 0.09 eV/atom

=====

Calculated ΔE to the lowest computed polymorph in order - 0.040 0.086 eV per atom